# NpTi2O4

Crystalline NpTi2O4 at its relaxed geometry (PBE, Alexandria via LeMat-Bulk).

## Properties
Total energy (eV per formula unit): -67.30
Symmetry: Cmcm

Geometry as CIF:
```
data_NpTi2O4
_cell_length_a 3.1272
_cell_length_b 5.2411
_cell_length_c 10.0864
_cell_angle_alpha 90.00
_cell_angle_beta 90.00
_cell_angle_gamma 107.36
_space_group_name_H-M_alt 'P 1'
_space_group_IT_number 1
loop_
_space_group_symop_operation_xyz
'x,y,z'
loop_
_atom_site_label
_atom_site_type_symbol
_atom_site_fract_x
_atom_site_fract_y
_atom_site_fract_z
Np1 Np 0.6134 0.2268 0.7500
Np2 Np 0.3866 0.7732 0.2500
Ti1 Ti 0.1213 0.2426 0.4394
Ti2 Ti 0.8787 0.7574 0.9394
Ti3 Ti 0.1213 0.2426 0.0606
Ti4 Ti 0.8787 0.7574 0.5606
O1 O 0.7636 0.5271 0.1086
O2 O 0.7636 0.5271 0.3914
O3 O 0.2364 0.4729 0.8914
O4 O 0.2364 0.4729 0.6086
O5 O 0.9295 0.8590 0.7500
O6 O 0.0705 0.1410 0.2500
O7 O 0.5000 0.0000 0.0000
O8 O 0.5000 0.0000 0.5000
```



# NpTi2O8

Crystalline NpTi2O8 at its relaxed geometry (PBE, Alexandria via LeMat-Bulk).

## Properties
Total energy (eV per formula unit): -95.17
Symmetry: C2/m

Geometry as CIF:
```
data_NpTi2O8
_cell_length_a 5.0130
_cell_length_b 5.6012
_cell_length_c 5.6012
_cell_angle_alpha 71.32
_cell_angle_beta 89.70
_cell_angle_gamma 89.70
_space_group_name_H-M_alt 'P 1'
_space_group_IT_number 1
loop_
_space_group_symop_operation_xyz
'x,y,z'
loop_
_atom_site_label
_atom_site_type_symbol
_atom_site_fract_x
_atom_site_fract_y
_atom_site_fract_z
Np1 Np 0.0000 0.0000 0.0000
Ti1 Ti 0.3230 0.6195 0.6195
Ti2 Ti 0.6770 0.3805 0.3805
O1 O 0.1995 0.8850 0.3292
O2 O 0.1995 0.3292 0.8850
O3 O 0.8005 0.1150 0.6708
O4 O 0.3231 0.4030 0.4030
O5 O 0.8005 0.6708 0.1150
O6 O 0.2566 0.8343 0.8343
O7 O 0.7434 0.1657 0.1657
O8 O 0.6769 0.5970 0.5970
```



# Np4Ti6O19

Crystalline Np4Ti6O19 at its relaxed geometry (PBE, Alexandria via LeMat-Bulk).

## Properties
Total energy (eV per formula unit): -276.97
Symmetry: I23

Geometry as CIF:
```
data_Np4Ti6O19
_cell_length_a 7.7849
_cell_length_b 7.7849
_cell_length_c 7.7849
_cell_angle_alpha 109.47
_cell_angle_beta 109.47
_cell_angle_gamma 109.47
_space_group_name_H-M_alt 'P 1'
_space_group_IT_number 1
loop_
_space_group_symop_operation_xyz
'x,y,z'
loop_
_atom_site_label
_atom_site_type_symbol
_atom_site_fract_x
_atom_site_fract_y
_atom_site_fract_z
Np1 Np 0.0000 0.0000 0.7013
Np2 Np 0.0000 0.7013 0.0000
Np3 Np 0.2987 0.2987 0.2987
Np4 Np 0.7013 0.0000 0.0000
Ti1 Ti 0.3389 0.5000 0.8389
Ti2 Ti 0.6611 0.5000 0.1611
Ti3 Ti 0.1611 0.6611 0.5000
Ti4 Ti 0.8389 0.3389 0.5000
Ti5 Ti 0.5000 0.8389 0.3389
Ti6 Ti 0.5000 0.1611 0.6611
O1 O 0.6543 0.0000 0.6543
O2 O 0.3457 0.0000 0.3457
O3 O 0.3457 0.3457 0.0000
O4 O 0.6543 0.6543 0.0000
O5 O 0.0000 0.6543 0.6543
O6 O 0.0000 0.3457 0.3457
O7 O 0.0000 0.0000 0.0000
O8 O 0.3736 0.3341 0.6115
O9 O 0.6264 0.2379 0.9605
O10 O 0.7226 0.7621 0.3885
O11 O 0.9605 0.6264 0.2379
O12 O 0.2774 0.6659 0.0395
O13 O 0.6115 0.3736 0.3341
O14 O 0.0395 0.2774 0.6659
O15 O 0.3885 0.7226 0.7621
O16 O 0.6659 0.0395 0.2774
O17 O 0.2379 0.9605 0.6264
O18 O 0.3341 0.6115 0.3736
O19 O 0.7621 0.3885 0.7226
```



# Np4TiO10

Crystalline Np4TiO10 at its relaxed geometry (PBE, Alexandria via LeMat-Bulk).

## Properties
Total energy (eV per formula unit): -154.32
Symmetry: R-3m

Geometry as CIF:
```
data_Np4TiO10
_cell_length_a 3.7860
_cell_length_b 3.7860
_cell_length_c 15.0923
_cell_angle_alpha 82.79
_cell_angle_beta 82.79
_cell_angle_gamma 60.00
_space_group_name_H-M_alt 'P 1'
_space_group_IT_number 1
loop_
_space_group_symop_operation_xyz
'x,y,z'
loop_
_atom_site_label
_atom_site_type_symbol
_atom_site_fract_x
_atom_site_fract_y
_atom_site_fract_z
Np1 Np 0.3950 0.3950 0.8150
Np2 Np 0.7983 0.7983 0.6051
Np3 Np 0.2017 0.2017 0.3949
Np4 Np 0.6050 0.6050 0.1850
Ti1 Ti 0.0000 0.0000 0.0000
O1 O 0.9555 0.9555 0.1336
O2 O 0.1492 0.1492 0.5523
O3 O 0.5528 0.5528 0.3417
O4 O 0.3453 0.3453 0.9640
O5 O 0.7457 0.7457 0.7628
O6 O 0.6547 0.6547 0.0360
O7 O 0.8508 0.8508 0.4477
O8 O 0.2543 0.2543 0.2372
O9 O 0.0445 0.0445 0.8664
O10 O 0.4472 0.4472 0.6583
```



# NpTiTl2O6

Crystalline NpTiTl2O6 at its relaxed geometry (PBE, Alexandria via LeMat-Bulk).

## Properties
Total energy (eV per formula unit): -77.73
Symmetry: Pmmn

Geometry as CIF:
```
data_NpTiTl2O6
_cell_length_a 6.2045
_cell_length_b 7.6163
_cell_length_c 7.5150
_cell_angle_alpha 90.00
_cell_angle_beta 90.00
_cell_angle_gamma 90.00
_space_group_name_H-M_alt 'P 1'
_space_group_IT_number 1
loop_
_space_group_symop_operation_xyz
'x,y,z'
loop_
_atom_site_label
_atom_site_type_symbol
_atom_site_fract_x
_atom_site_fract_y
_atom_site_fract_z
Np1 Np 0.5000 0.2846 0.5000
Np2 Np 0.0000 0.7154 0.0000
Ti1 Ti 0.0000 0.6044 0.5000
Ti2 Ti 0.5000 0.3956 0.0000
Tl1 Tl 0.5000 0.8413 0.2674
Tl2 Tl 0.0000 0.1587 0.7674
Tl3 Tl 0.5000 0.8413 0.7326
Tl4 Tl 0.0000 0.1587 0.2326
O1 O 0.5000 0.2686 0.2036
O2 O 0.5000 0.2686 0.7964
O3 O 0.0000 0.7314 0.2964
O4 O 0.0000 0.7314 0.7036
O5 O 0.2783 0.1022 0.5000
O6 O 0.7217 0.1022 0.5000
O7 O 0.2518 0.4712 0.5000
O8 O 0.7482 0.4712 0.5000
O9 O 0.7518 0.5288 0.0000
O10 O 0.2482 0.5288 0.0000
O11 O 0.2217 0.8978 0.0000
O12 O 0.7783 0.8978 0.0000
```



Across the entries above, magnetization takes the values 0.566, 0.000, 0.483, 0.800, 0.100 μB per atom, respectively.
Across the entries above, energy relative to the elements, uncorrected takes the values -2677, -2434, -2884, -3005, -2241 meV/atom, respectively.